This record from the Open Quantum Materials Database describes a relaxed SmTePO crystal. The functional is PBE.

Calculated values
As for the total magnetization: 0.000 μB per atom. The calculation puts the relative energy among the computed polymorphs at 151 meV per atom.

Lattice parameters (Å, degrees): 4.595 4.595 7.753 90.00 90.00 90.00
Space group P4/nmm (No. 129, origin choice 2)
Inequivalent atoms, fractional coordinates:
Sm: 0.250 0.250 0.098 [2 per cell]
Te: 0.250 0.750 0.500 [2 per cell]
P: 0.250 0.250 0.689 [2 per cell]
O: 0.250 0.750 0.000 [2 per cell]